1.
DFT (SCAN) results for a crystal of ScSeF3 relaxed with PBEsol.

Results
For the formation energy without anion corrections, the calculation gives -2.702 eV/atom.

Unit cell a=4.162 b=4.162 c=4.162 alpha=90.00 beta=90.00 gamma=90.00
Each line ends with the local moment (μB).
Sites, in units of the cell vectors:
F  0.000  0.000  0.500  0.07
F  0.000  0.500  0.000  0.07
F  0.500  0.000  0.000  0.07
Sc  0.000  0.000  0.000  -0.02
Se  0.500  0.500  0.500  1.13



2.
DFT (SCAN) results for a crystal of ScSeF2 relaxed with PBEsol.

Results
For the formation energy without anion corrections, the calculation gives -1.858 eV/atom.

Unit cell a=4.232 b=4.232 c=4.232 alpha=60.00 beta=60.00 gamma=60.00
Each line ends with the local moment (μB).
Sites, in units of the cell vectors:
Sc  0.000  0.000  0.000  -0.03
Se  0.500  0.500  0.500  0.41
F  0.750  0.750  0.750  0.10
F  0.250  0.250  0.250  0.10



- What is the formation energy without anion corrections in the second record?
  -1.858 eV/atom



- Look up the formation energy without anion corrections of the second one.
  -1.858 eV/atom



- What is the formula in the second record?
  ScSeF2